Density functional theory data (PBE) for Ce3ThPa2P6 after structural relaxation.

The structure in CIF format:
```
data_Ce3ThPa2P6
_cell_length_a 7.019
_cell_length_b 12.153
_cell_length_c 7.025
_cell_angle_alpha 90.00
_cell_angle_beta 109.46
_cell_angle_gamma 90.00
_symmetry_space_group_name_H-M 'C 1 2/m 1'
_symmetry_Int_Tables_number 12
loop_
_symmetry_equiv_pos_as_xyz
'x,y,z'
'-x,-y,-z'
'-x,y,-z'
'x,-y,z'
'x+1/2,y+1/2,z'
'-x+1/2,-y+1/2,-z'
'-x+1/2,y+1/2,-z'
'x+1/2,-y+1/2,z'
loop_
_atom_site_label
_atom_site_type_symbol
_atom_site_fract_x
_atom_site_fract_y
_atom_site_fract_z
Ce1 Ce 0.000 0.000 0.000
Ce2 Ce 0.000 0.336 0.000
Th1 Th 0.000 0.500 0.500
Pa1 Pa 0.000 0.167 0.500
P1 P 0.239 0.000 0.744
P2 P 0.247 0.171 0.255
```

Values from the calculation:
- magnetic moment (μB per cell) = 0.98
- calculated formation energy (eV/atom) = -1.4532
- crystal system = monoclinic